# 1
CaTb12Er5 | PBE | optimized geometry

Cell lengths 15.0879, 10.6712, 5.0326 Å; angles 90.00, 90.00, 45.11 degrees
Closest atoms and distances in Å follow each position.
Sites, in units of the cell vectors:
Tb  0.9994  0.3383  0.0001  8 Tb 3.47-3.59, 3 Er 3.56-3.58, 1 Ca 3.60
Tb  0.8276  0.0002  0.4998  8 Tb 3.50-3.59, 2 Ca 3.62, 2 Er 3.68-3.69
Tb  0.3376  0.6618  0.0001  8 Tb 3.47-3.59, 3 Er 3.55-3.58, 1 Ca 3.61
Tb  0.1668  0.3337  0.5001  4 Er 3.49-3.56, 8 Tb 3.50-3.57
Tb  0.6662  0.0000  0.9998  8 Tb 3.50-3.58, 4 Er 3.55
Tb  0.6624  0.3382  0.9999  8 Tb 3.47-3.59, 3 Er 3.55-3.58, 1 Ca 3.61
Tb  0.5005  0.6664  0.5001  4 Er 3.49-3.55, 8 Tb 3.51-3.56
Tb  0.3339  0.0000  0.0002  8 Tb 3.50-3.58, 4 Er 3.55
Tb  0.0006  0.6617  0.9999  8 Tb 3.47-3.59, 3 Er 3.56-3.58, 1 Ca 3.60
Tb  0.8332  0.6663  0.4999  4 Er 3.49-3.56, 8 Tb 3.50-3.57
Tb  0.4995  0.3336  0.4999  4 Er 3.49-3.55, 8 Tb 3.51-3.56
Tb  0.1724  0.9998  0.5002  8 Tb 3.50-3.59, 2 Ca 3.62, 2 Er 3.68-3.69
Ca  0.0000  0.0000  0.0000  8 Tb 3.60-3.62, 4 Er 3.63
Er  0.6664  0.6671  0.0000  4 Er 3.50-3.56, 8 Tb 3.55-3.56
Er  0.1727  0.6548  0.5000  8 Tb 3.49-3.69, 2 Er 3.50, 2 Ca 3.63
Er  0.8273  0.3452  0.5000  8 Tb 3.49-3.69, 2 Er 3.50, 2 Ca 3.63
Er  0.3336  0.3329  0.0000  4 Er 3.50-3.56, 8 Tb 3.55-3.56
Er  0.5000  0.0000  0.5000  8 Tb 3.55-3.56, 4 Er 3.56

Properties
space-group type: P2/m
electronic total energy: -4.43 eV per atom

=====

# 2
Ca2TbEr | PBE | optimized geometry

Cell lengths 3.5642, 3.5642, 13.1947 Å; angles 82.24, 82.24, 60.00 degrees
Closest atoms and distances in Å follow each position.
Sites, in units of the cell vectors:
Tb  0.5000  0.5000  0.5000  6 Tb 3.56, 6 Ca 3.72
Ca  0.9126  0.9126  0.2621  1 Er 3.42, 6 Ca 3.56, 3 Tb 3.72
Ca  0.0874  0.0874  0.7379  1 Er 3.42, 6 Ca 3.56, 3 Tb 3.72
Er  0.0000  0.0000  0.0000  2 Ca 3.42, 6 Er 3.56

Properties
space-group type: R-3m
ΔE to the lowest computed polymorph: 0.080 eV/atom
electronic total energy: -3.03 eV per atom

=====

# 3
CaTb7Er4 | PBE | optimized geometry

Cell lengths 7.1885, 6.2196, 11.3849 Å; angles 79.57, 50.92, 90.00 degrees
Closest atoms and distances in Å follow each position.
Sites, in units of the cell vectors:
Er  0.1677  0.2201  0.3324  8 Tb 3.50-3.60, 4 Er 3.51-3.58
Er  0.5920  0.2817  0.6620  8 Tb 3.45-3.65, 3 Er 3.51-3.58, 1 Ca 3.59
Er  0.4080  0.7183  0.3380  8 Tb 3.45-3.65, 3 Er 3.51-3.58, 1 Ca 3.59
Er  0.8323  0.7799  0.6676  8 Tb 3.50-3.60, 4 Er 3.51-3.58
Tb  0.6600  0.2253  0.3401  6 Tb 3.46-3.65, 5 Er 3.46-3.65, 1 Ca 3.60
Tb  0.9150  0.7177  0.3387  6 Er 3.45-3.65, 5 Tb 3.46-3.65, 1 Ca 3.59
Tb  0.3400  0.7747  0.6599  6 Tb 3.46-3.65, 5 Er 3.46-3.65, 1 Ca 3.60
Tb  0.2580  0.4989  0.9997  7 Tb 3.48-3.70, 3 Er 3.51-3.55, 2 Ca 3.61-3.63
Tb  0.5000  0.0000  0.0000  4 Er 3.52-3.56, 6 Tb 3.56-3.57, 2 Ca 3.59
Tb  0.7420  0.5011  0.0003  7 Tb 3.48-3.70, 3 Er 3.51-3.55, 2 Ca 3.61-3.63
Tb  0.0850  0.2823  0.6613  6 Er 3.45-3.65, 5 Tb 3.46-3.65, 1 Ca 3.59
Ca  0.0000  0.0000  0.0000  2 Er 3.59, 10 Tb 3.59-3.63

Properties
space-group type: P-1
electronic total energy: -4.36 eV per atom

=====

# 4
CaTb4Er5 | PBE | optimized geometry

Cell lengths 3.5220, 11.4076, 8.5947 Å; angles 108.18, 78.21, 90.00 degrees
Closest atoms and distances in Å follow each position.
Sites, in units of the cell vectors:
Er  0.7893  0.6189  0.4212  8 Er 3.52-3.81, 5 Tb 3.54-3.75
Er  0.6045  0.2080  0.7907  5 Tb 3.23-3.59, 5 Er 3.23-3.53, 1 Ca 3.38
Er  0.3955  0.7920  0.2093  5 Tb 3.23-3.59, 5 Er 3.23-3.53, 1 Ca 3.38
Er  0.5000  0.5000  0.0000  4 Er 3.23-3.52, 4 Tb 3.53
Er  0.2107  0.3811  0.5788  8 Er 3.52-3.81, 5 Tb 3.54-3.75
Tb  0.9121  0.3030  0.1760  3 Tb 3.52-3.57, 7 Er 3.53-3.67, 2 Ca 3.74
Tb  0.0879  0.6970  0.8240  3 Tb 3.52-3.57, 7 Er 3.53-3.67, 2 Ca 3.74
Tb  0.8051  0.0781  0.3894  3 Er 3.23-3.59, 5 Tb 3.44-3.57, 2 Ca 3.57
Tb  0.1949  0.9219  0.6106  3 Er 3.23-3.59, 5 Tb 3.44-3.57, 2 Ca 3.57
Ca  0.5000  0.0000  0.0000  2 Er 3.38, 2 Ca 3.52, 8 Tb 3.57-3.74

Properties
space-group type: C2/m
electronic total energy: -4.25 eV per atom

=====

# 5
CaTbEr14 | PBE | optimized geometry

Cell lengths 7.1989, 7.1989, 11.1842 Å; angles 90.00, 90.00, 120.02 degrees
Closest atoms and distances in Å follow each position.
Sites, in units of the cell vectors:
Er  0.3334  0.6666  0.7523  11 Er 3.46-3.60, 1 Tb 3.46
Er  0.8354  0.1646  0.2545  11 Er 3.44-3.64, 1 Ca 3.54
Er  0.8354  0.1646  0.7455  11 Er 3.44-3.64, 1 Ca 3.54
Er  0.8352  0.6707  0.7451  10 Er 3.43-3.64, 1 Tb 3.52, 1 Ca 3.54
Er  0.6667  0.8333  0.5000  12 Er 3.43-3.60
Er  0.3334  0.6666  0.2477  11 Er 3.46-3.60, 1 Tb 3.46
Er  0.1673  0.3341  0.0000  8 Er 3.46-3.61, 2 Tb 3.59-3.61, 2 Ca 3.60
Er  0.8352  0.6707  0.2549  10 Er 3.43-3.64, 1 Tb 3.52, 1 Ca 3.54
Er  0.1665  0.8335  0.5000  12 Er 3.43-3.60
Er  0.1667  0.3333  0.5000  12 Er 3.43-3.60
Er  0.3293  0.1648  0.2549  10 Er 3.43-3.64, 1 Tb 3.52, 1 Ca 3.54
Er  0.6659  0.8327  0.0000  8 Er 3.46-3.61, 2 Tb 3.59-3.61, 2 Ca 3.60
Er  0.6667  0.3333  0.5000  12 Er 3.45-3.60
Er  0.3293  0.1648  0.7451  10 Er 3.43-3.64, 1 Tb 3.52, 1 Ca 3.54
Tb  0.1671  0.8329  0.0000  10 Er 3.46-3.61, 2 Ca 3.60
Ca  0.6666  0.3334  0.0000  10 Er 3.54-3.60, 2 Tb 3.60

Properties
space-group type: Amm2
electronic total energy: -4.38 eV per atom

=====

# 6
CaTb15Er4 | PBE | optimized geometry

Cell lengths 5.0368, 5.0368, 25.1859 Å; angles 90.00, 90.00, 90.00 degrees
Closest atoms and distances in Å follow each position.
Sites, in units of the cell vectors:
Tb  0.0000  0.5000  0.5000  4 Er 3.55, 8 Tb 3.55-3.56
Tb  0.5000  0.5000  0.5995  8 Tb 3.54-3.55, 4 Er 3.56
Tb  0.5000  0.0000  0.8955  8 Tb 3.50-3.64, 2 Er 3.51, 2 Ca 3.64
Tb  0.5000  0.0000  0.6983  8 Tb 3.54-3.57, 4 Er 3.54-3.56
Tb  0.5000  0.0000  0.1045  8 Tb 3.50-3.64, 2 Er 3.51, 2 Ca 3.64
Tb  0.0000  0.5000  0.8955  8 Tb 3.50-3.64, 2 Er 3.51, 2 Ca 3.64
Tb  0.0000  0.5000  0.6983  8 Tb 3.54-3.57, 4 Er 3.54-3.56
Tb  0.0000  0.5000  0.3017  8 Tb 3.54-3.57, 4 Er 3.54-3.56
Tb  0.5000  0.5000  0.0000  4 Ca 3.56, 8 Tb 3.64
Tb  0.0000  0.5000  0.1045  8 Tb 3.50-3.64, 2 Er 3.51, 2 Ca 3.64
Tb  0.5000  0.5000  0.2012  8 Tb 3.50-3.57, 4 Er 3.56
Tb  0.5000  0.5000  0.7988  8 Tb 3.50-3.57, 4 Er 3.56
Tb  0.5000  0.0000  0.5000  4 Er 3.55, 8 Tb 3.55-3.56
Tb  0.5000  0.0000  0.3017  8 Tb 3.54-3.57, 4 Er 3.54-3.56
Tb  0.5000  0.5000  0.4005  8 Tb 3.54-3.55, 4 Er 3.56
Er  0.0000  0.0000  0.7985  12 Tb 3.51-3.56
Er  0.0000  0.0000  0.4007  12 Tb 3.54-3.56
Er  0.0000  0.0000  0.5993  12 Tb 3.54-3.56
Er  0.0000  0.0000  0.2015  12 Tb 3.51-3.56
Ca  0.0000  0.0000  0.0000  12 Tb 3.56-3.64

Properties
space-group type: P4/mmm
electronic total energy: -4.45 eV per atom

=====

# 7
CaTb12Er7 | PBE | optimized geometry

Cell lengths 9.8475, 9.8475, 9.8475 Å; angles 109.47, 109.47, 109.47 degrees
Closest atoms and distances in Å follow each position.
Sites, in units of the cell vectors:
Tb  0.7379  0.2624  0.0003  2 Er 2.85
Tb  0.7376  0.9997  0.2621  2 Er 2.85
Tb  0.2624  0.5246  0.2621  2 Er 2.85
Tb  0.9997  0.2621  0.7376  2 Er 2.85
Tb  0.2621  0.7376  0.9997  2 Er 2.85
Tb  0.5246  0.2621  0.2624  2 Er 2.85
Tb  0.0003  0.7379  0.2624  2 Er 2.85
Tb  0.2621  0.2624  0.5246  2 Er 2.85
Tb  0.4754  0.7379  0.7376  2 Er 2.85
Tb  0.7379  0.7376  0.4754  2 Er 2.85
Tb  0.7376  0.4754  0.7379  2 Er 2.85
Tb  0.2624  0.0003  0.7379  2 Er 2.85
Er  0.0000  0.5000  0.5000  12 Tb 3.82-4.03
Er  0.5000  0.5000  0.5000  6 Tb 2.85
Er  0.5000  0.0000  0.5000  12 Tb 3.82-4.03
Er  0.5000  0.5000  0.0000  12 Tb 3.82-4.03
Er  0.5000  0.0000  0.0000  6 Tb 2.85
Er  0.0000  0.5000  0.0000  6 Tb 2.85
Er  0.0000  0.0000  0.5000  6 Tb 2.85
Ca  0.0000  0.0000  0.0000  12 Tb 4.22

Properties
space-group type: Im-3m
electronic total energy: -3.79 eV per atom

=====

# 8
CaTb14Er | PBE | optimized geometry

Cell lengths 7.2883, 7.2883, 11.3601 Å; angles 90.00, 90.00, 119.97 degrees
Closest atoms and distances in Å follow each position.
Sites, in units of the cell vectors:
Tb  0.3332  0.6668  0.7529  11 Tb 3.50-3.65, 1 Er 3.51
Tb  0.6670  0.3330  0.5000  12 Tb 3.52-3.65
Tb  0.3288  0.1642  0.7472  10 Tb 3.50-3.70, 1 Er 3.55, 1 Ca 3.58
Tb  0.3288  0.1642  0.2528  10 Tb 3.50-3.70, 1 Er 3.55, 1 Ca 3.58
Tb  0.8357  0.1643  0.7467  11 Tb 3.50-3.69, 1 Ca 3.58
Tb  0.3332  0.6668  0.2471  11 Tb 3.50-3.65, 1 Er 3.51
Tb  0.1667  0.3348  0.0000  8 Tb 3.50-3.66, 2 Er 3.63-3.66, 2 Ca 3.64-3.65
Tb  0.8357  0.1643  0.2533  11 Tb 3.50-3.69, 1 Ca 3.58
Tb  0.8358  0.6712  0.2528  10 Tb 3.50-3.70, 1 Er 3.55, 1 Ca 3.58
Tb  0.1667  0.3332  0.5000  12 Tb 3.50-3.65
Tb  0.1669  0.8331  0.5000  12 Tb 3.50-3.65
Tb  0.8358  0.6712  0.7472  10 Tb 3.50-3.70, 1 Er 3.55, 1 Ca 3.58
Tb  0.6668  0.8333  0.5000  12 Tb 3.50-3.65
Tb  0.6652  0.8333  0.0000  8 Tb 3.50-3.66, 2 Er 3.63-3.66, 2 Ca 3.64-3.65
Ca  0.6666  0.3334  0.0000  10 Tb 3.58-3.65, 2 Er 3.65
Er  0.1670  0.8330  0.0000  10 Tb 3.51-3.66, 2 Ca 3.65

Properties
space-group type: Amm2
electronic total energy: -4.43 eV per atom

=====

# 9
Ca2Tb5Er4 | PBE | optimized geometry

Cell lengths 8.0531, 9.4304, 9.4990 Å; angles 73.67, 139.68, 126.00 degrees
Closest atoms and distances in Å follow each position.
Sites, in units of the cell vectors:
Tb  0.0672  0.4585  0.8737  5 Er 3.45-3.68, 4 Tb 3.47-3.68, 3 Ca 3.58-3.68
Tb  0.6674  0.8127  0.9520  5 Tb 3.47-3.76, 5 Er 3.49-3.56, 2 Ca 3.58-3.65
Tb  0.9328  0.5415  0.1263  5 Er 3.45-3.68, 4 Tb 3.47-3.68, 3 Ca 3.58-3.68
Tb  0.3326  0.1873  0.0480  5 Tb 3.47-3.76, 5 Er 3.49-3.56, 2 Ca 3.58-3.65
Tb  0.5000  0.0000  0.5000  4 Er 3.49-3.58, 2 Ca 3.57, 6 Tb 3.58-3.63
Er  0.8829  0.6453  0.4085  7 Tb 3.45-3.68, 3 Er 3.53-3.61, 2 Ca 3.68-3.74
Er  0.5882  0.9080  0.2264  5 Tb 3.53-3.67, 4 Er 3.54-3.61, 3 Ca 3.58-3.61
Er  0.1171  0.3547  0.5915  7 Tb 3.45-3.68, 3 Er 3.53-3.61, 2 Ca 3.68-3.74
Er  0.4118  0.0920  0.7736  5 Tb 3.53-3.67, 4 Er 3.54-3.61, 3 Ca 3.58-3.61
Ca  0.2264  0.2720  0.3188  1 Ca 3.56, 6 Tb 3.57-3.68, 5 Er 3.58-3.74
Ca  0.7736  0.7280  0.6812  1 Ca 3.56, 6 Tb 3.57-3.68, 5 Er 3.58-3.74

Properties
space-group type: P-1
electronic total energy: -4.05 eV per atom

=====

# 10
CaTb2Er2 | PBE | optimized geometry

Cell lengths 5.4887, 3.5216, 9.0670 Å; angles 90.01, 107.62, 90.00 degrees
Closest atoms and distances in Å follow each position.
Sites, in units of the cell vectors:
Ca  0.0000  0.5000  0.0000  2 Er 3.48, 2 Ca 3.52, 8 Tb 3.88
Er  0.2012  0.4998  0.4025  4 Er 3.22-3.52, 1 Ca 3.48, 6 Tb 3.54
Er  0.7988  0.5002  0.5975  4 Er 3.22-3.52, 1 Ca 3.48, 6 Tb 3.54
Tb  0.3786  0.0002  0.7573  2 Tb 3.52, 6 Er 3.54, 4 Ca 3.88
Tb  0.6214  0.9998  0.2427  2 Tb 3.52, 6 Er 3.54, 4 Ca 3.88

Properties
space-group type: Cmmm
electronic total energy: -4.02 eV per atom

=====

# 11
CaTb6Er3 | PBE | optimized geometry

Cell lengths 3.5408, 12.8403, 15.8360 Å; angles 114.89, 90.00, 90.00 degrees
Closest atoms and distances in Å follow each position.
Sites, in units of the cell vectors:
Er  0.2500  0.0961  0.7978  3 Er 3.39-3.54, 7 Tb 3.55-3.71, 1 Ca 3.59
Er  0.2500  0.4017  0.4009  8 Tb 3.35-3.59, 4 Er 3.54-3.56
Er  0.2500  0.1119  0.5892  2 Tb 3.22-3.54, 5 Er 3.39-3.54
Er  0.7500  0.5983  0.5991  8 Tb 3.35-3.59, 4 Er 3.54-3.56
Er  0.7500  0.8881  0.4108  2 Tb 3.22-3.54, 5 Er 3.39-3.54
Er  0.7500  0.9039  0.2022  3 Er 3.39-3.54, 7 Tb 3.55-3.71, 1 Ca 3.59
Tb  0.2500  0.6107  0.7941  6 Tb 3.35-3.63, 2 Er 3.51, 2 Ca 3.68
Tb  0.2500  0.1432  0.2012  3 Er 3.49-3.55, 9 Tb 3.52-3.69
Tb  0.7500  0.1181  0.0002  8 Tb 3.51-3.63, 2 Er 3.57, 2 Ca 3.70
Tb  0.7500  0.6328  0.4011  4 Er 3.22-3.45, 7 Tb 3.35-3.54
Tb  0.2500  0.6625  0.2246  6 Tb 3.46-3.83, 4 Er 3.61-3.71, 2 Ca 3.78
Tb  0.7500  0.8568  0.7988  3 Er 3.49-3.55, 9 Tb 3.52-3.69
Tb  0.7500  0.1647  0.4123  6 Tb 3.49-3.69, 6 Er 3.54-3.61
Tb  0.7500  0.3375  0.7754  6 Tb 3.46-3.83, 4 Er 3.61-3.71, 2 Ca 3.78
Tb  0.2500  0.8353  0.5877  6 Tb 3.49-3.69, 6 Er 3.54-3.61
Tb  0.2500  0.3672  0.5989  4 Er 3.22-3.45, 7 Tb 3.35-3.54
Tb  0.7500  0.3893  0.2059  6 Tb 3.35-3.63, 2 Er 3.51, 2 Ca 3.68
Tb  0.2500  0.8819  0.9998  8 Tb 3.51-3.63, 2 Er 3.57, 2 Ca 3.70
Ca  0.2500  0.3690  0.9956  4 Ca 3.54-3.75, 1 Er 3.59, 6 Tb 3.68-3.78
Ca  0.7500  0.6310  0.0044  4 Ca 3.54-3.75, 1 Er 3.59, 6 Tb 3.68-3.78

Properties
space-group type: P2_1/m
electronic total energy: -4.27 eV per atom

=====

# 12
CaTbEr2 | PBE | optimized geometry

Cell lengths 5.1025, 5.0621, 5.0621 Å; angles 90.00, 90.00, 90.00 degrees
Closest atoms and distances in Å follow each position.
Sites, in units of the cell vectors:
Er  0.0000  0.0000  0.5000  4 Er 3.58, 4 Tb 3.59, 4 Ca 3.59
Er  0.0000  0.5000  0.0000  4 Er 3.58, 4 Tb 3.59, 4 Ca 3.59
Ca  0.5000  0.0000  0.0000  4 Tb 3.58, 8 Er 3.59
Tb  0.5000  0.5000  0.5000  4 Ca 3.58, 8 Er 3.59

Properties
space-group type: P4/mmm
ΔE to the lowest computed polymorph: 0.075 eV/atom
electronic total energy: -3.80 eV per atom